1.
Computed, not measured: crystalline Pr4DyHo2Sc at its relaxed geometry at the PBE-GGA level of DFT.

The structure in POSCAR format:
```
Pr4DyHo2Sc
1.0
5.1292 0.0000 0.0000
0.0000 5.1435 0.0000
0.0000 0.0000 9.8991
Pr Dy Ho Sc
4 1 2 1
direct
0.0000 0.0000 0.2448 Pr
0.0000 0.0000 0.7552 Pr
0.5000 0.5000 0.2450 Pr
0.5000 0.5000 0.7550 Pr
0.0000 0.5000 0.5000 Dy
0.0000 0.5000 0.0000 Ho
0.5000 0.0000 0.5000 Ho
0.5000 0.0000 0.0000 Sc
```

Summary:
SG   Pmmm (47)

***

2.
Computed, not measured: crystalline PrDyHo2Sc2 at its relaxed geometry at the PBE-GGA level of DFT.

The structure in POSCAR format:
```
PrDyHo2Sc2
1.0
6.2747 0.0000 0.0000
0.0000 17.4686 0.0000
0.0000 0.0000 3.3506
Pr Dy Ho Sc
2 2 4 4
direct
0.0000 0.0000 0.0000 Pr
0.5000 0.5000 0.5000 Pr
0.0000 0.5000 0.0000 Dy
0.5000 0.0000 0.5000 Dy
0.2171 0.1930 0.0000 Ho
0.2829 0.6930 0.5000 Ho
0.7171 0.3070 0.5000 Ho
0.7829 0.8070 0.0000 Ho
0.2139 0.3540 0.5000 Sc
0.2861 0.8540 0.0000 Sc
0.7139 0.1460 0.0000 Sc
0.7861 0.6460 0.5000 Sc
```

Summary:
SG   Pnnm (58)

***

3.
Computed, not measured: crystalline Pr2Dy2HoSc at its relaxed geometry at the PBE-GGA level of DFT.

The structure in POSCAR format:
```
Pr2Dy2HoSc
1.0
6.9081 0.0000 0.0000
0.0000 5.6189 0.0000
0.0000 0.0000 9.7376
Pr Dy Ho Sc
4 4 2 2
direct
0.0000 0.0000 0.0000 Pr
0.2500 0.5000 0.1864 Pr
0.5000 0.0000 0.0000 Pr
0.7500 0.5000 0.8136 Pr
0.2500 0.0000 0.3343 Dy
0.2500 0.5000 0.8339 Dy
0.7500 0.0000 0.6657 Dy
0.7500 0.5000 0.1661 Dy
0.2500 0.0000 0.6530 Ho
0.7500 0.0000 0.3470 Ho
0.0000 0.5000 0.5000 Sc
0.5000 0.5000 0.5000 Sc
```

Summary:
SG   Pmma (51)

***

4.
Computed, not measured: crystalline PrDyHo2Sc4 at its relaxed geometry at the PBE-GGA level of DFT.

The structure in POSCAR format:
```
PrDyHo2Sc4
1.0
-3.2694 5.6521 6.3400
3.2694 -5.6521 6.3400
3.2694 5.6521 -6.3400
Pr Dy Ho Sc
2 2 4 8
direct
0.5000 0.0000 0.0000 Pr
0.5000 0.5000 0.5000 Pr
0.0000 0.0000 0.0000 Dy
0.5000 0.0000 0.5000 Dy
0.0000 0.0000 0.5000 Ho
0.0000 0.5000 0.0000 Ho
0.0000 0.5000 0.5000 Ho
0.5000 0.5000 0.0000 Ho
0.2465 0.7497 0.4968 Sc
0.2472 0.2473 0.5001 Sc
0.2472 0.2503 0.9968 Sc
0.2472 0.7470 0.9999 Sc
0.7528 0.2530 0.0001 Sc
0.7528 0.7497 0.0032 Sc
0.7528 0.7527 0.4999 Sc
0.7535 0.2503 0.5032 Sc
```

Summary:
SG   Imma (74)

***

5.
Computed, not measured: crystalline PrDy5Ho2Sc at its relaxed geometry at the PBE-GGA level of DFT.

The structure in POSCAR format:
```
PrDy5Ho2Sc
1.0
2.7859 -9.8607 0.0000
2.7859 9.8607 0.0000
0.0000 0.0000 10.3738
Pr Dy Ho Sc
2 10 4 2
direct
0.0867 0.9133 0.5000 Pr
0.9133 0.0867 0.0000 Pr
0.0193 0.9807 0.7860 Dy
0.1238 0.8762 0.0673 Dy
0.2022 0.7978 0.7528 Dy
0.2232 0.7768 0.3687 Dy
0.4816 0.5184 0.0669 Dy
0.5184 0.4816 0.5669 Dy
0.7768 0.2232 0.8687 Dy
0.7978 0.2022 0.2528 Dy
0.8762 0.1238 0.5673 Dy
0.9807 0.0193 0.2860 Dy
0.3861 0.6139 0.7817 Ho
0.3883 0.6117 0.3615 Ho
0.6117 0.3883 0.8615 Ho
0.6139 0.3861 0.2817 Ho
0.3039 0.6961 0.0614 Sc
0.6961 0.3039 0.5614 Sc
```

Summary:
SG   Cmc2_1 (36)

***

6.
Computed, not measured: crystalline PrDy2HoSc at its relaxed geometry at the PBE-GGA level of DFT.

The structure in POSCAR format:
```
PrDy2HoSc
1.0
3.5859 0.0000 0.0000
0.0000 5.4414 0.0000
0.0000 0.0000 8.3267
Pr Dy Ho Sc
1 2 1 1
direct
0.0000 0.0000 0.0000 Pr
0.0000 0.5000 0.3134 Dy
0.0000 0.5000 0.6866 Dy
0.5000 0.0000 0.5000 Ho
0.5000 0.5000 0.0000 Sc
```

Summary:
SG   Pmmm (47)

***

7.
Computed, not measured: crystalline PrDy2Ho5Sc at its relaxed geometry at the PBE-GGA level of DFT.

The structure in POSCAR format:
```
PrDy2Ho5Sc
1.0
2.7819 -9.8334 0.0000
2.7819 9.8334 0.0000
0.0000 0.0000 10.3610
Pr Dy Ho Sc
2 4 10 2
direct
0.0864 0.9136 0.5000 Pr
0.9136 0.0864 0.0000 Pr
0.3861 0.6139 0.7812 Dy
0.3886 0.6114 0.3619 Dy
0.6114 0.3886 0.8619 Dy
0.6139 0.3861 0.2812 Dy
0.0194 0.9806 0.7854 Ho
0.1240 0.8760 0.0671 Ho
0.2024 0.7976 0.7528 Ho
0.2234 0.7766 0.3693 Ho
0.4814 0.5186 0.0674 Ho
0.5186 0.4814 0.5674 Ho
0.7766 0.2234 0.8693 Ho
0.7976 0.2024 0.2528 Ho
0.8760 0.1240 0.5671 Ho
0.9806 0.0194 0.2854 Ho
0.3035 0.6965 0.0614 Sc
0.6965 0.3035 0.5614 Sc
```

Summary:
SG   Cmc2_1 (36)

***

8.
Computed, not measured: crystalline PrDy2Ho2Sc2 at its relaxed geometry at the PBE-GGA level of DFT.

The structure in POSCAR format:
```
PrDy2Ho2Sc2
1.0
8.6387 -1.6979 0.0000
8.6387 1.6979 0.0000
-3.6077 0.0000 7.3304
Pr Dy Ho Sc
1 2 2 2
direct
0.0000 0.0000 0.0000 Pr
0.2124 0.2124 0.2903 Dy
0.7876 0.7876 0.7097 Dy
0.4268 0.4268 0.5813 Ho
0.5732 0.5732 0.4187 Ho
0.3490 0.3490 0.1088 Sc
0.6510 0.6510 0.8912 Sc
```

Summary:
SG   C2/m (12)

***

Number 1: total DFT energy (no corrections) -4.871 eV per atom, volume 32.6 Å³ per atom. Number 2: total DFT energy (no corrections) -4.920 eV per atom, volume 30.6 Å³ per atom. Number 3: total DFT energy (no corrections) -4.847 eV per atom, volume 31.5 Å³ per atom. Number 4: total DFT energy (no corrections) -5.046 eV per atom, volume 29.3 Å³ per atom. Number 5: total DFT energy (no corrections) -4.634 eV per atom, volume 31.7 Å³ per atom. Number 6: total DFT energy (no corrections) -4.761 eV per atom, volume 32.5 Å³ per atom. Number 7: total DFT energy (no corrections) -4.626 eV per atom, volume 31.5 Å³ per atom. Number 8: total DFT energy (no corrections) -4.926 eV per atom, volume 30.7 Å³ per atom.